Entry 1:
Density functional theory data (SCAN) for a crystal of TlCu2S2 relaxed with PBEsol.

Values from the calculation:
DFT total energy in eV per atom: -24.720
M_tot in μB/cell: 0.0
Calculated density in g/cm3: 7.22

Cell lengths 3.6924, 3.6924, 7.1622 Å; angles 104.94, 104.94, 90.00 degrees
Positions (direct):
Tl: 0.0000 0.0000 0.0000
S: 0.3550 0.3550 0.7101
S: 0.6450 0.6450 0.2899
Cu: 0.2500 0.7500 0.5000
Cu: 0.7500 0.2500 0.5000

=====

Entry 2:
Density functional theory data (SCAN) for a crystal of TlCuS2 relaxed with PBEsol.

Values from the calculation:
DFT total energy in eV per atom: -26.980
M_tot in μB/cell: 0.0
Calculated density in g/cm3: 6.35

Cell lengths 5.5774, 5.5774, 6.8377 Å; angles 114.07, 114.07, 90.00 degrees
Positions (direct):
Tl: 0.2500 0.7500 0.5000
Tl: 0.0000 0.0000 0.0000
S: 0.8260 0.3750 0.2500
S: 0.4240 0.8750 0.2500
S: 0.6250 0.5760 0.7500
S: 0.1250 0.1740 0.7500
Cu: 0.7500 0.2500 0.5000
Cu: 0.5000 0.5000 0.0000

=====

Entry 3:
Density functional theory data (SCAN) for a crystal of TlCuS2 relaxed with PBEsol.

Values from the calculation:
DFT total energy in eV per atom: -26.769
M_tot in μB/cell: 0.0
Calculated density in g/cm3: 5.69

Cell lengths 3.9961, 3.9961, 7.3799 Å; angles 74.29, 74.29, 60.00 degrees
Positions (direct):
Tl: 0.5000 0.5000 0.5000
S: 0.9004 0.9004 0.2989
S: 0.0996 0.0996 0.7011
Cu: 0.0000 0.0000 0.0000